MgReGe2Sb | PBEsol | relaxed

Energy relative to the elements, uncorrected, eV per atom: 1.67
E, eV per atom: -4.229

The structure in CIF format:
```
data_MgReGe2Sb
_chemical_formula_sum 'Mg1 Re1 Ge2 Sb1'
_symmetry_space_group_name_H-M 'P 4/m m m'
_symmetry_Int_Tables_number 123
_symmetry_space_group_name_Hall '-P 4 2'
_cell_length_a 4.752
_cell_length_b 4.752
_cell_length_c 5.229
_cell_angle_alpha 90.00
_cell_angle_beta 90.00
_cell_angle_gamma 90.00
loop_
_atom_site_label
_atom_site_type_symbol
_atom_site_fract_x
_atom_site_fract_y
_atom_site_fract_z
Mg1 Mg 0.000 0.000 0.000
Re1 Re 0.500 0.500 0.500
Ge1 Ge 0.000 0.500 0.000
Sb1 Sb 0.000 0.000 0.500
```

---

AlCN3 | PBEsol | relaxed

Energy relative to the elements, uncorrected, eV per atom: 2.48
E, eV per atom: -5.380

The structure in CIF format:
```
data_AlCN3
_chemical_formula_sum 'Al1 C1 N3'
_symmetry_space_group_name_H-M 'P m -3 m'
_symmetry_Int_Tables_number 221
_symmetry_space_group_name_Hall '-P 4 2 3'
_cell_length_a 3.708
_cell_length_b 3.708
_cell_length_c 3.708
_cell_angle_alpha 90.00
_cell_angle_beta 90.00
_cell_angle_gamma 90.00
loop_
_atom_site_label
_atom_site_type_symbol
_atom_site_fract_x
_atom_site_fract_y
_atom_site_fract_z
Al1 Al 0.000 0.000 0.000
C1 C 0.500 0.500 0.500
N1 N 0.000 0.000 0.500
```

---

TeRhW | PBEsol | relaxed

Distance to the lowest polymorph of the same formula, eV/atom: 0.1019
Energy relative to the elements, uncorrected, eV per atom: 0.44
E, eV per atom: -8.054

The structure in CIF format:
```
data_TeRhW
_chemical_formula_sum 'Te4 Rh4 W4'
_symmetry_space_group_name_H-M 'F -4 3 m'
_symmetry_Int_Tables_number 216
_symmetry_space_group_name_Hall 'F -4 2 3'
_cell_length_a 6.158
_cell_length_b 6.158
_cell_length_c 6.158
_cell_angle_alpha 90.00
_cell_angle_beta 90.00
_cell_angle_gamma 90.00
loop_
_atom_site_label
_atom_site_type_symbol
_atom_site_fract_x
_atom_site_fract_y
_atom_site_fract_z
Te1 Te 0.000 0.000 0.000
Rh1 Rh 0.000 0.000 0.500
W1 W 0.250 0.250 0.250
```

---

Cu2SnTe3 | PBEsol | relaxed

Distance to the lowest polymorph of the same formula, eV/atom: 0.0024
Energy relative to the elements, uncorrected, eV per atom: -0.09
E, eV per atom: -4.004

The structure in CIF format:
```
data_Cu2SnTe3
_chemical_formula_sum 'Cu32 Sn16 Te48'
_symmetry_space_group_name_H-M 'F d d 2'
_symmetry_Int_Tables_number 43
_symmetry_space_group_name_Hall 'F 2 -2d'
_cell_length_a 8.585
_cell_length_b 25.719
_cell_length_c 12.136
_cell_angle_alpha 90.00
_cell_angle_beta 90.00
_cell_angle_gamma 90.00
loop_
_atom_site_label
_atom_site_type_symbol
_atom_site_fract_x
_atom_site_fract_y
_atom_site_fract_z
Cu1 Cu 0.000 0.000 0.000
Cu2 Cu 0.000 0.000 0.494
Cu3 Cu 0.010 0.334 0.504
Sn1 Sn 0.014 0.170 0.501
Te1 Te 0.002 0.243 0.137
Te2 Te 0.020 0.423 0.128
Te3 Te 0.022 0.083 0.112
```

---

MgSeN2F | PBEsol | relaxed

Distance to the lowest polymorph of the same formula, eV/atom: 0.0000
Energy relative to the elements, uncorrected, eV per atom: 0.32
E, eV per atom: -4.590

The structure in CIF format:
```
data_MgSeN2F
_chemical_formula_sum 'Mg1 Se1 N2 F1'
_symmetry_space_group_name_H-M 'P 4/m m m'
_symmetry_Int_Tables_number 123
_symmetry_space_group_name_Hall '-P 4 2'
_cell_length_a 3.829
_cell_length_b 3.829
_cell_length_c 4.084
_cell_angle_alpha 90.00
_cell_angle_beta 90.00
_cell_angle_gamma 90.00
loop_
_atom_site_label
_atom_site_type_symbol
_atom_site_fract_x
_atom_site_fract_y
_atom_site_fract_z
Mg1 Mg 0.000 0.000 0.000
Se1 Se 0.500 0.500 0.500
N1 N 0.000 0.500 0.500
F1 F 0.500 0.500 0.000
```

---

YSnF3 | PBEsol | relaxed

Energy relative to the elements, uncorrected, eV per atom: -1.60
E, eV per atom: -4.970

The structure in CIF format:
```
data_YSnF3
_chemical_formula_sum 'Y1 Sn1 F3'
_symmetry_space_group_name_H-M 'P m -3 m'
_symmetry_Int_Tables_number 221
_symmetry_space_group_name_Hall '-P 4 2 3'
_cell_length_a 4.593
_cell_length_b 4.593
_cell_length_c 4.593
_cell_angle_alpha 90.00
_cell_angle_beta 90.00
_cell_angle_gamma 90.00
loop_
_atom_site_label
_atom_site_type_symbol
_atom_site_fract_x
_atom_site_fract_y
_atom_site_fract_z
Y1 Y 0.000 0.000 0.000
Sn1 Sn 0.500 0.500 0.500
F1 F 0.000 0.500 0.500
```